The following is a GGA-PBE calculation of a relaxed structure of CeCd4Hg, from Alexandria via LeMat-Bulk.

The value obtained for the energy relative to the elements is -142 meV/atom. The calculation puts the energy above the most stable polymorph in this dataset at 16 meV per atom.

It has space group Cmcm (No. 63), with a = 4.6266 Å, b = 17.3751 Å, c = 7.3780 Å, α = 90.00°, β = 90.00° and γ = 90.00°. The inequivalent atoms are Ce at (0.0000, 0.1285, 0.2500), Cd at (0.0000, 0.0624, 0.7500), Cd at (0.0000, 0.3339, 0.0544), Cd at (0.0000, 0.5000, 0.0000) and Hg at (0.0000, 0.2334, 0.7500).

The following is a GGA-PBE calculation of a relaxed structure of CeCd6Hg, from Alexandria via LeMat-Bulk.

The value obtained for the energy relative to the elements is -38 meV/atom.

It has space group P6/mmm (No. 191), with a = 5.9626 Å, b = 5.9626 Å, c = 6.5708 Å, α = 90.00°, β = 90.00° and γ = 120.00°. The inequivalent atoms are Ce at (0.0000, 0.0000, 0.0000), Cd at (0.0000, 0.5000, 0.2507) and Hg at (0.0000, 0.0000, 0.5000).